# Ca2Mo2Cl2O5, optimized geometry, DFT PBE+U
data_Ca2Mo2Cl2O5
_chemical_formula_sum 'Ca4 Mo4 Cl4 O10'
_space_group_name_H-M_alt 'I 4/m m m'
_space_group_IT_number 139
_space_group_name_Hall '-I 4 2'
_cell_length_a 4.030
_cell_length_b 4.030
_cell_length_c 23.231
_cell_angle_alpha 90.00
_cell_angle_beta 90.00
_cell_angle_gamma 90.00
loop_
_atom_site_label
_atom_site_type_symbol
_atom_site_fract_x
_atom_site_fract_y
_atom_site_fract_z
_atom_site_occupancy
Ca1 Ca 0.000 0.000 0.156 1
Mo1 Mo 0.000 0.000 0.419 1
Cl1 Cl 0.000 0.000 0.295 1
O1 O 0.000 0.000 0.500 1
O2 O 0.000 0.500 0.102 1
# E: -6.301 eV per atom
# M_tot: 4.0 μB per formula unit